The following is a DFT calculation (GGA-PBE) of CaZnWAu2 after structural relaxation.

a = 4.964 Å, b = 4.964 Å, c = 4.834 Å
α = 90.00°, β = 90.00°, γ = 90.00°
Space group P4/mmm (No. 123)
Symmetry-distinct sites (fractional):
Ca 0.000 0.000 0.000 x1
Zn 0.000 0.000 0.500 x1
W 0.500 0.500 0.500 x1
Au 0.000 0.500 0.000 x2

Properties
total DFT energy (no corrections): -2.766 eV per atom
magnetization: 0.0 μB per cell
ΔH_f (0 K): 9.0 eV per formula unit
crystal system: tetragonal
ρ: 9.5 g/cm3

The following is a DFT calculation (GGA-PBE) of Ac3GeOs after structural relaxation.

a = 16.217 Å, b = 4.581 Å, c = 8.859 Å
α = 90.00°, β = 90.55°, γ = 90.00°
Space group C2/m (No. 12)
Symmetry-distinct sites (fractional):
Ac 0.050 0.000 0.179 x4
Ac 0.121 0.500 0.554 x4
Ac 0.245 0.000 0.806 x4
Ge 0.102 0.500 0.932 x4
Os 0.196 0.000 0.404 x4

Properties
total DFT energy (no corrections): -5.877 eV per atom
magnetization: 0.0 μB per cell
polymorph energy (0 for the lowest one): 0 kJ/mol of formula units
ΔH_f (0 K): -1.2 eV per formula unit
crystal system: monoclinic
ρ: 9.5 g/cm3

Copy entry 2 word for word.
The following is a DFT calculation (GGA-PBE) of Ac3GeOs after structural relaxation.

a = 16.217 Å, b = 4.581 Å, c = 8.859 Å
α = 90.00°, β = 90.55°, γ = 90.00°
Space group C2/m (No. 12)
Symmetry-distinct sites (fractional):
Ac 0.050 0.000 0.179 x4
Ac 0.121 0.500 0.554 x4
Ac 0.245 0.000 0.806 x4
Ge 0.102 0.500 0.932 x4
Os 0.196 0.000 0.404 x4

Properties
total DFT energy (no corrections): -5.877 eV per atom
magnetization: 0.0 μB per cell
polymorph energy (0 for the lowest one): 0 kJ/mol of formula units
ΔH_f (0 K): -1.2 eV per formula unit
crystal system: monoclinic
ρ: 9.5 g/cm3

Which formula does entry 2 have? Ac3GeOs

Which of these has the highest total DFT energy (no corrections)? CaZnWAu2